# 1
TlAgAu (PBE-GGA, relaxed); density of states at the Fermi level = 1.04 states/eV/f.u.; VASP energy = -2.719 eV/atom; energy of formation from the pure elements = 0.113 eV/atom
1.0
4.828 0.000 0.000
-2.414 4.181 0.000
0.000 0.000 3.223
Tl Au Ag
1 1 1
Direct
0.333 0.667 0.653
0.667 0.333 0.285
0.000 0.000 0.062

***

# 2
HoMgGaO4 (PBE-GGA, relaxed); density of states at the Fermi level = 0.00 states/eV/f.u.; uncorrected formation energy = -18.36 eV/f.u.; VASP energy = -6.771 eV/atom
1.0
6.180 0.000 0.000
3.090 5.413 -0.007
3.090 1.643 5.158
Ho Mg Ga O
2 2 2 8
Direct
0.000 0.000 0.000
0.000 0.500 0.500
0.500 0.000 0.500
0.000 0.000 0.500
0.624 0.626 0.126
0.376 0.374 0.874
0.744 0.761 0.751
0.256 0.749 0.739
0.744 0.251 0.261
0.256 0.239 0.249
0.244 0.757 0.257
0.741 0.757 0.257
0.259 0.243 0.743
0.756 0.243 0.743

***

# 3
CuPbW2 (PBE-GGA, relaxed); density of states at the Fermi level = 3.02 states/eV/f.u.; VASP energy = -7.578 eV/atom; energy of formation from the pure elements = 0.850 eV/atom
1.0
-5.122 -0.279 -1.360
-1.148 -0.623 -5.144
3.200 -2.279 3.568
Cu Pb W
1 1 2
Direct
0.250 0.750 0.500
0.750 0.250 0.500
0.000 0.000 0.000
0.500 0.500 0.000